# 1
## Li6CdAu2 (PBE)

Data for Li6CdAu2 after structural relaxation.

a = 7.1661 Å, b = 7.8779 Å, c = 5.1733 Å
α = 90.00°, β = 95.60°, γ = 90.00°
Space group C2/m (No. 12)
Symmetry-distinct sites (fractional):
Li (0.0000, 0.1723, 0.0000) [4 per cell]
Li (0.1633, 0.3373, 0.6696) [8 per cell]
Cd (0.0000, 0.0000, 0.5000) [2 per cell]
Au (0.1680, 0.5000, 0.1666) [4 per cell]

Output
DFT formation energy ... -354 meV/atom
V ... 290.65 Å³/cell

=====

# 2
## RbMn4Te8 (PBE)

Data for RbMn4Te8 after structural relaxation.

a = 7.6383 Å, b = 7.6383 Å, c = 28.0660 Å
α = 90.00°, β = 90.00°, γ = 120.00°
Space group R-3m (No. 166, hexagonal axes)
Symmetry-distinct sites (fractional):
Rb (0.0000, 0.0000, 0.0000) [3 per cell]
Mn (0.0000, 0.0000, 0.5000) [3 per cell]
Mn (0.0000, 0.5000, 0.5000) [9 per cell]
Te (0.0000, 0.0000, 0.2222) [6 per cell]
Te (0.0017, 0.5009, 0.7777) [18 per cell]

Output
V ... 1418.08 Å³/cell
Formation energy from raw total energies ... -0.32 eV per atom

=====

# 3
## Ba2Zn3Pt2 (PBE)

Data for Ba2Zn3Pt2 after structural relaxation.

a = 4.2992 Å, b = 22.3511 Å, c = 7.7670 Å
α = 90.00°, β = 90.00°, γ = 90.00°
Space group Cmcm (No. 63)
Symmetry-distinct sites (fractional):
Ba (0.0000, 0.0536, 0.2500) [4 per cell]
Ba (0.0000, 0.1825, 0.7500) [4 per cell]
Zn (0.0000, 0.1948, 0.2500) [4 per cell]
Zn (0.0000, 0.4394, 0.0883) [8 per cell]
Pt (0.0000, 0.3438, 0.5774) [8 per cell]

Output
DFT formation energy ... -434 meV/atom
V ... 746.34 Å³/cell

=====

# 4
## Tb2NdGa6 (PBE)

Data for Tb2NdGa6 after structural relaxation.

a = 4.3578 Å, b = 7.1336 Å, c = 13.2578 Å
α = 90.00°, β = 90.00°, γ = 90.00°
Space group Immm (No. 71)
Symmetry-distinct sites (fractional):
Tb (0.0000, 0.0000, 0.1273) [4 per cell]
Nd (0.0000, 0.5000, 0.0000) [2 per cell]
Ga (0.0000, 0.1936, 0.3166) [8 per cell]
Ga (0.0000, 0.3169, 0.5000) [4 per cell]

Output
DFT formation energy ... -484 meV/atom
V ... 412.14 Å³/cell
Distance to the lowest polymorph of the same formula ... 176 meV per atom

=====

# 5
## CsAlAg3 (PBE)

Data for CsAlAg3 after structural relaxation.

a = 5.2607 Å, b = 5.2607 Å, c = 5.2607 Å
α = 90.00°, β = 90.00°, γ = 90.00°
Space group Pm-3m (No. 221)
Symmetry-distinct sites (fractional):
Cs (0.0000, 0.0000, 0.0000) [1 per cell]
Al (0.5000, 0.5000, 0.5000) [1 per cell]
Ag (0.0000, 0.5000, 0.5000) [3 per cell]

Output
DFT formation energy ... 154 meV/atom
V ... 145.59 Å³/cell
Distance to the lowest polymorph of the same formula ... 0 meV per atom

=====

# 6
## CaTb6Pr5 (PBE)

Data for CaTb6Pr5 after structural relaxation.

a = 12.0631 Å, b = 10.9501 Å, c = 6.3226 Å
α = 90.00°, β = 100.04°, γ = 90.00°
Space group C2/m (No. 12)
Symmetry-distinct sites (fractional):
Ca (0.0000, 0.0000, 0.0000) [2 per cell]
Tb (0.2463, 0.3310, 0.7461) [8 per cell]
Tb (0.2478, 0.5000, 0.2544) [4 per cell]
Pr (0.0000, 0.1693, 0.5000) [4 per cell]
Pr (0.0000, 0.3365, 0.0000) [4 per cell]
Pr (0.0000, 0.5000, 0.5000) [2 per cell]

Output
DFT formation energy ... 38 meV/atom
V ... 822.39 Å³/cell

=====

# 7
## PaTlSeO5 (PBE)

Data for PaTlSeO5 after structural relaxation.

a = 8.1007 Å, b = 9.9438 Å, c = 8.4156 Å
α = 90.00°, β = 116.61°, γ = 90.00°
Space group C2/c (No. 15)
Symmetry-distinct sites (fractional):
Pa (0.2500, 0.2500, 0.0000) [4 per cell]
Tl (0.0000, 0.0648, 0.2500) [4 per cell]
Se (0.0000, 0.4542, 0.2500) [4 per cell]
O (0.0000, 0.2256, 0.7500) [4 per cell]
O (0.0609, 0.3448, 0.1285) [8 per cell]
O (0.2315, 0.0533, 0.0690) [8 per cell]

Output
V ... 606.09 Å³/cell
Formation energy from raw total energies ... -1.89 eV per atom

=====

# 8
## SrSb2Ir (PBE)

Data for SrSb2Ir after structural relaxation.

a = 5.2067 Å, b = 4.3723 Å, c = 5.3057 Å
α = 90.00°, β = 104.89°, γ = 90.00°
Space group Pm (No. 6)
Symmetry-distinct sites (fractional):
Sr (0.0000, 0.0000, 0.0000) [1 per cell]
Sb (0.3986, 0.0000, 0.6297) [1 per cell]
Sb (0.6169, 0.5000, 0.3262) [1 per cell]
Ir (0.1265, 0.5000, 0.4725) [1 per cell]

Output
V ... 116.73 Å³/cell
Formation energy from raw total energies ... -0.31 eV per atom

=====

# 9
## ZnSe2Cl (PBE)

Data for ZnSe2Cl after structural relaxation.

a = 3.1285 Å, b = 3.1285 Å, c = 31.1216 Å
α = 90.00°, β = 90.00°, γ = 120.00°
Space group R-3m (No. 166, hexagonal axes)
Symmetry-distinct sites (fractional):
Zn (0.0000, 0.0000, 0.0000) [3 per cell]
Se (0.0000, 0.0000, 0.0751) [6 per cell]
Cl (0.0000, 0.0000, 0.5000) [3 per cell]

Output
V ... 263.79 Å³/cell
Formation energy from raw total energies ... 0.28 eV per atom
Distance to the lowest polymorph of the same formula ... 657 meV per atom

=====

# 10
## AcTb2Pr3Sm6 (PBE)

Data for AcTb2Pr3Sm6 after structural relaxation.

a = 6.3539 Å, b = 11.0005 Å, c = 12.1778 Å
α = 90.00°, β = 100.02°, γ = 90.00°
Space group C2/m (No. 12)
Symmetry-distinct sites (fractional):
Ac (0.0000, 0.0000, 0.0000) [2 per cell]
Tb (0.0000, 0.3334, 0.0000) [4 per cell]
Pr (0.0000, 0.1670, 0.5000) [4 per cell]
Pr (0.0000, 0.5000, 0.5000) [2 per cell]
Sm (0.2480, 0.3319, 0.7499) [8 per cell]
Sm (0.2477, 0.5000, 0.2504) [4 per cell]

Output
DFT formation energy ... 23 meV/atom
V ... 838.18 Å³/cell

=====

# 11
## La2SnHgSe5 (PBE)

Data for La2SnHgSe5 after structural relaxation.

a = 4.2729 Å, b = 17.9704 Å, c = 12.8320 Å
α = 90.00°, β = 90.00°, γ = 90.00°
Space group Cmc2_1 (No. 36)
Symmetry-distinct sites (fractional):
La (0.0000, 0.1215, 0.0000) [4 per cell]
La (0.0000, 0.1322, 0.6143) [4 per cell]
Sn (0.0000, 0.1992, 0.3149) [4 per cell]
Hg (0.0000, 0.4677, 0.7822) [4 per cell]
Se (0.0000, 0.0382, 0.4011) [4 per cell]
Se (0.0000, 0.2920, 0.9772) [4 per cell]
Se (0.0000, 0.3054, 0.6447) [4 per cell]
Se (0.0000, 0.3573, 0.3100) [4 per cell]
Se (0.0000, 0.4985, 0.0860) [4 per cell]

Output
V ... 985.31 Å³/cell
Formation energy from raw total energies ... -1.22 eV per atom

=====

# 12
## CrTcRu4 (PBE)

Data for CrTcRu4 after structural relaxation.

a = 7.1107 Å, b = 7.1107 Å, c = 7.1107 Å
α = 90.00°, β = 90.00°, γ = 90.00°
Space group F-43m (No. 216)
Symmetry-distinct sites (fractional):
Cr (0.0000, 0.0000, 0.0000) [4 per cell]
Tc (0.2500, 0.2500, 0.7500) [4 per cell]
Ru (0.1253, 0.1253, 0.3747) [16 per cell]

Output
DFT formation energy ... 524 meV/atom
V ... 359.54 Å³/cell
Distance to the lowest polymorph of the same formula ... 524 meV per atom

=====

Number 1: E -2.460 eV per atom, size of the total moment 0.0 μB per formula unit. Number 2: E -5.151 eV per atom, size of the total moment 12.5 μB per formula unit. Number 3: E -3.255 eV per atom, size of the total moment 0.0 μB per formula unit. Number 4: E -4.060 eV per atom, size of the total moment 0.0 μB per formula unit. Number 5: E -2.476 eV per atom, size of the total moment 0.0 μB per formula unit. Number 6: E -4.436 eV per atom, size of the total moment 0.0 μB per formula unit. Number 7: E -6.902 eV per atom, size of the total moment 0.0 μB per formula unit. Number 8: E -5.002 eV per atom, size of the total moment 0.0 μB per formula unit. Number 9: E -2.246 eV per atom, size of the total moment 0.0 μB per formula unit. Number 10: E -4.645 eV per atom, size of the total moment 0.0 μB per formula unit. Number 11: E -4.733 eV per atom, size of the total moment 0.0 μB per formula unit. Number 12: E -8.991 eV per atom, size of the total moment 2.4 μB per formula unit.